1 | VASP calculation (PBE-GGA) on UTc2B after structural relaxation.

a = 3.0029 Å, b = 3.0029 Å, c = 22.9396 Å
α = 90.00°, β = 90.00°, γ = 120.00°
Last column: nearest neighbours and their distance in Å.
Fractional positions:
U  0.0000  0.0000  0.0000  2 Tc 2.48
U  0.3333  0.6667  0.6667  2 Tc 2.48
U  0.6667  0.3333  0.3333  2 Tc 2.48
Tc  0.0000  0.0000  0.1079  3 B 2.20
Tc  0.0000  0.0000  0.8921  3 B 2.20
Tc  0.3333  0.6667  0.5587  3 B 2.20
Tc  0.3333  0.6667  0.7746  3 B 2.20
Tc  0.6667  0.3333  0.2254  3 B 2.20
Tc  0.6667  0.3333  0.4413  3 B 2.20
B  0.0000  0.0000  0.5000  6 Tc 2.20
B  0.3333  0.6667  0.1667  6 Tc 2.20
B  0.6667  0.3333  0.8333  6 Tc 2.20

---

2 | VASP calculation (PBE-GGA) on UTc2B after structural relaxation.

a = 4.0161 Å, b = 4.0161 Å, c = 3.6224 Å
α = 90.00°, β = 90.00°, γ = 90.00°
Last column: nearest neighbours and their distance in Å.
Fractional positions:
U  0.0000  0.0000  0.0000  8 Tc 2.70, 4 B 2.84
Tc  0.0000  0.5000  0.5000  4 U 2.70, 4 B 2.70, 4 Tc 2.84
Tc  0.5000  0.0000  0.5000  4 U 2.70, 4 B 2.70, 4 Tc 2.84
B  0.5000  0.5000  0.0000  8 Tc 2.70, 4 U 2.84

---

3 | VASP calculation (PBE-GGA) on UTc2B after structural relaxation.

a = 2.7468 Å, b = 2.7468 Å, c = 7.5515 Å
α = 90.00°, β = 90.00°, γ = 90.00°
Last column: nearest neighbours and their distance in Å.
Fractional positions:
U  0.0000  0.0000  0.0000  4 U 2.75
Tc  0.5000  0.5000  0.3326  4 B 2.32, 1 Tc 2.53
Tc  0.5000  0.5000  0.6674  4 B 2.32, 1 Tc 2.53
B  0.0000  0.0000  0.5000  8 Tc 2.32

---

Relative to the most stable structure, the computed energies are 1 0.104; 2 0.000; 3 0.048, all in eV/atom.

---

1 | VASP calculation (PBE-GGA) on UTcB after structural relaxation.

a = 5.6458 Å, b = 5.9432 Å, c = 5.2942 Å
α = 90.00°, β = 90.00°, γ = 90.00°
Last column: nearest neighbours and their distance in Å.
Fractional positions:
U  0.1670  0.1069  0.0000  3 B 2.50-2.58, 1 Tc 2.77
U  0.3330  0.1069  0.5000  3 B 2.50-2.58, 1 Tc 2.77
U  0.6670  0.8931  0.0000  3 B 2.50-2.58, 1 Tc 2.77
U  0.8330  0.8931  0.5000  3 B 2.50-2.58, 1 Tc 2.77
Tc  0.1174  0.5988  0.7697  3 B 2.11-2.15
Tc  0.3826  0.5988  0.2697  3 B 2.11-2.15
Tc  0.6173  0.4012  0.7697  3 B 2.11-2.15
Tc  0.8826  0.4012  0.2697  3 B 2.11-2.15
B  0.0433  0.7074  0.1403  3 Tc 2.11-2.15
B  0.4567  0.7074  0.6403  3 Tc 2.11-2.15
B  0.5433  0.2926  0.1403  3 Tc 2.11-2.15
B  0.9567  0.2926  0.6403  3 Tc 2.11-2.15

---

2 | VASP calculation (PBE-GGA) on UTcB after structural relaxation.

a = 3.0309 Å, b = 3.0309 Å, c = 9.5073 Å
α = 90.00°, β = 90.00°, γ = 90.00°
Last column: nearest neighbours and their distance in Å.
Fractional positions:
U  0.0000  0.0000  0.0000  1 Tc 2.59, 5 B 2.84-2.89
U  0.5000  0.5000  0.5000  1 Tc 2.59, 5 B 2.84-2.89
Tc  0.0000  0.0000  0.2729  4 B 2.27
Tc  0.5000  0.5000  0.7729  4 B 2.27
B  0.0000  0.0000  0.6957  4 Tc 2.27
B  0.5000  0.5000  0.1957  4 Tc 2.27

---

3 | VASP calculation (PBE-GGA) on UTcB after structural relaxation.

a = 3.0191 Å, b = 13.1323 Å, c = 4.2791 Å
α = 90.00°, β = 90.00°, γ = 90.00°
Last column: nearest neighbours and their distance in Å.
Fractional positions:
U  0.0000  0.0558  0.2500  2 U 2.59, 2 Tc 2.79, 4 B 2.84
U  0.0000  0.9442  0.7500  2 U 2.59, 2 Tc 2.79, 4 B 2.84
U  0.5000  0.4442  0.7500  2 U 2.59, 2 Tc 2.79, 4 B 2.84
U  0.5000  0.5558  0.2500  2 U 2.59, 2 Tc 2.79, 4 B 2.84
Tc  0.0000  0.2656  0.7500  4 B 2.24-2.48
Tc  0.0000  0.7344  0.2500  4 B 2.24-2.48
Tc  0.5000  0.2344  0.2500  4 B 2.24-2.48
Tc  0.5000  0.7656  0.7500  4 B 2.24-2.48
B  0.0000  0.3608  0.2500  4 Tc 2.24-2.48
B  0.0000  0.6392  0.7500  4 Tc 2.24-2.48
B  0.5000  0.1392  0.7500  4 Tc 2.24-2.48
B  0.5000  0.8608  0.2500  4 Tc 2.24-2.48

---

Relative to the most stable structure, the computed energies are 1 0.010; 2 0.038; 3 0.000, all in eV/atom.

---

1 | VASP calculation (PBE-GGA) on UTc3B after structural relaxation.

a = 4.0005 Å, b = 4.2663 Å, c = 8.9043 Å
α = 90.00°, β = 90.00°, γ = 90.00°
Last column: nearest neighbours and their distance in Å.
Fractional positions:
U  0.0000  0.0000  0.0000  1 Tc 2.41, 2 B 2.69
U  0.0000  0.5000  0.5000  1 Tc 2.41, 2 B 2.69
Tc  0.0000  0.0000  0.7295  2 B 2.27, 1 U 2.41
Tc  0.0000  0.5000  0.2295  2 B 2.27, 1 U 2.41
Tc  0.5000  0.0000  0.2106  2 B 2.21
Tc  0.5000  0.0000  0.5015  2 B 2.59, 5 Tc 2.59-2.85
Tc  0.5000  0.5000  0.0015  2 B 2.59, 5 Tc 2.59-2.85
Tc  0.5000  0.5000  0.7106  2 B 2.21
B  0.0000  0.0000  0.3168  4 Tc 2.21-2.27
B  0.0000  0.5000  0.8168  4 Tc 2.21-2.27

---

2 | VASP calculation (PBE-GGA) on UTc3B after structural relaxation.

a = 4.2069 Å, b = 4.2069 Å, c = 4.2069 Å
α = 90.00°, β = 90.00°, γ = 90.00°
Last column: nearest neighbours and their distance in Å.
Fractional positions:
U  0.0000  0.0000  0.0000  12 Tc 2.97
Tc  0.0000  0.5000  0.5000  2 B 2.10
Tc  0.5000  0.0000  0.5000  2 B 2.10
Tc  0.5000  0.5000  0.0000  2 B 2.10
B  0.5000  0.5000  0.5000  6 Tc 2.10

---

Relative to the most stable structure, the computed energies are 1 0.305; 2 0.000, all in eV/atom.

---

1 | VASP calculation (PBE-GGA) on VTc2B after structural relaxation.

a = 6.9754 Å, b = 6.9754 Å, c = 4.3460 Å
α = 90.00°, β = 90.00°, γ = 90.00°
Last column: nearest neighbours and their distance in Å.
Fractional positions:
V  0.0000  0.0000  0.0000  2 B 2.17
V  0.0000  0.5000  0.2500  2 B 2.17
V  0.5000  0.0000  0.7500  2 B 2.17
V  0.5000  0.5000  0.5000  2 B 2.17
Tc  0.1506  0.7500  0.6250  2 B 2.11
Tc  0.2500  0.1506  0.3750  2 B 2.11
Tc  0.2500  0.3494  0.8750  2 B 2.11
Tc  0.3494  0.7500  0.1250  2 B 2.11
Tc  0.6506  0.2500  0.1250  2 B 2.11
Tc  0.7500  0.6506  0.8750  2 B 2.11
Tc  0.7500  0.8494  0.3750  2 B 2.11
Tc  0.8494  0.2500  0.6250  2 B 2.11
B  0.0000  0.0000  0.5000  4 Tc 2.11, 2 V 2.17
B  0.0000  0.5000  0.7500  4 Tc 2.11, 2 V 2.17
B  0.5000  0.0000  0.2500  4 Tc 2.11, 2 V 2.17
B  0.5000  0.5000  0.0000  4 Tc 2.11, 2 V 2.17

---

2 | VASP calculation (PBE-GGA) on VTc2B after structural relaxation.

a = 5.7957 Å, b = 5.7957 Å, c = 5.7957 Å
α = 90.00°, β = 90.00°, γ = 90.00°
Last column: nearest neighbours and their distance in Å.
Fractional positions:
V  0.0000  0.0000  0.0000  8 Tc 2.51
V  0.0000  0.5000  0.5000  8 Tc 2.51
V  0.5000  0.0000  0.5000  8 Tc 2.51
V  0.5000  0.5000  0.0000  8 Tc 2.51
Tc  0.2500  0.2500  0.2500  4 B 2.51, 4 V 2.51
Tc  0.2500  0.2500  0.7500  4 B 2.51, 4 V 2.51
Tc  0.2500  0.7500  0.2500  4 B 2.51, 4 V 2.51
Tc  0.2500  0.7500  0.7500  4 B 2.51, 4 V 2.51
Tc  0.7500  0.2500  0.2500  4 B 2.51, 4 V 2.51
Tc  0.7500  0.2500  0.7500  4 B 2.51, 4 V 2.51
Tc  0.7500  0.7500  0.2500  4 B 2.51, 4 V 2.51
Tc  0.7500  0.7500  0.7500  4 B 2.51, 4 V 2.51
B  0.0000  0.0000  0.5000  8 Tc 2.51
B  0.0000  0.5000  0.0000  8 Tc 2.51
B  0.5000  0.0000  0.0000  8 Tc 2.51
B  0.5000  0.5000  0.5000  8 Tc 2.51

---

Relative to the most stable structure, the computed energies are 1 0.018; 2 0.000, all in eV/atom.

---

1 | VASP calculation (PBE-GGA) on VTc3B after structural relaxation.

a = 4.0786 Å, b = 4.0786 Å, c = 4.0786 Å
α = 90.00°, β = 90.00°, γ = 90.00°
Last column: nearest neighbours and their distance in Å.
Fractional positions:
V  0.0000  0.0000  0.0000  12 Tc 2.88
Tc  0.0000  0.5000  0.5000  2 B 2.04
Tc  0.5000  0.0000  0.5000  2 B 2.04
Tc  0.5000  0.5000  0.0000  2 B 2.04
B  0.5000  0.5000  0.5000  6 Tc 2.04

---

2 | VASP calculation (PBE-GGA) on VTc3B after structural relaxation.

a = 4.4270 Å, b = 4.4270 Å, c = 4.4270 Å
α = 90.00°, β = 90.00°, γ = 90.00°
Last column: nearest neighbours and their distance in Å.
Fractional positions:
V  0.0000  0.0000  0.0000  6 Tc 2.21
Tc  0.0000  0.0000  0.5000  2 V 2.21
Tc  0.0000  0.5000  0.0000  2 V 2.21
Tc  0.5000  0.0000  0.0000  2 V 2.21
B  0.5000  0.5000  0.5000  12 Tc 3.13

---

3 | VASP calculation (PBE-GGA) on VTc3B after structural relaxation.

a = 6.3160 Å, b = 2.9280 Å, c = 6.9470 Å
α = 90.00°, β = 98.93°, γ = 90.00°
Last column: nearest neighbours and their distance in Å.
Fractional positions:
V  0.0146  0.2500  0.1749  5 Tc 2.43-2.66, 1 B 2.55
V  0.9854  0.7500  0.8251  5 Tc 2.43-2.66, 1 B 2.55
Tc  0.1694  0.2500  0.5781  2 B 2.21
Tc  0.3140  0.2500  0.9929  3 B 2.25-2.41, 1 V 2.43
Tc  0.3904  0.7500  0.3399  2 B 2.28
Tc  0.6096  0.2500  0.6601  2 B 2.28
Tc  0.6860  0.7500  0.0071  3 B 2.25-2.41, 1 V 2.43
Tc  0.8306  0.7500  0.4219  2 B 2.21
B  0.3719  0.7500  0.7610  7 Tc 2.21-2.41
B  0.6281  0.2500  0.2390  7 Tc 2.21-2.41

---

Relative to the most stable structure, the computed energies are 1 0.289; 2 2.280; 3 0.000, all in eV/atom.

---

1 | VASP calculation (PBE-GGA) on V2TcB after structural relaxation.

a = 2.9096 Å, b = 2.9096 Å, c = 19.7800 Å
α = 90.00°, β = 90.00°, γ = 120.00°
Last column: nearest neighbours and their distance in Å.
Fractional positions:
V  0.0000  0.0000  0.2310  3 B 2.11
V  0.0000  0.0000  0.7690  3 B 2.11
V  0.3333  0.6667  0.4357  3 B 2.11
V  0.3333  0.6667  0.8976  3 B 2.11
V  0.6667  0.3333  0.1024  3 B 2.11
V  0.6667  0.3333  0.5643  3 B 2.11
Tc  0.0000  0.0000  0.0000  6 V 2.63, 6 Tc 2.91
Tc  0.3333  0.6667  0.6667  6 V 2.63, 6 Tc 2.91
Tc  0.6667  0.3333  0.3333  6 V 2.63, 6 Tc 2.91
B  0.0000  0.0000  0.5000  6 V 2.11
B  0.3333  0.6667  0.1667  6 V 2.11
B  0.6667  0.3333  0.8333  6 V 2.11

---

2 | VASP calculation (PBE-GGA) on V2TcB after structural relaxation.

a = 3.0114 Å, b = 3.0114 Å, c = 5.1864 Å
α = 90.00°, β = 90.00°, γ = 90.00°
Last column: nearest neighbours and their distance in Å.
Fractional positions:
V  0.0000  0.0000  0.2141  1 V 2.22, 4 B 2.40
V  0.0000  0.0000  0.7859  1 V 2.22, 4 B 2.40
Tc  0.5000  0.5000  0.5000  2 B 2.59, 8 V 2.59
B  0.5000  0.5000  0.0000  8 V 2.40, 2 Tc 2.59

---

3 | VASP calculation (PBE-GGA) on V2TcB after structural relaxation.

a = 6.8656 Å, b = 6.8656 Å, c = 4.3459 Å
α = 90.00°, β = 90.00°, γ = 90.00°
Last column: nearest neighbours and their distance in Å.
Fractional positions:
V  0.1508  0.7500  0.1250  2 B 2.08
V  0.2500  0.1508  0.8750  2 B 2.08
V  0.2500  0.3492  0.3750  2 B 2.08
V  0.3492  0.7500  0.6250  2 B 2.08
V  0.6508  0.2500  0.6250  2 B 2.08
V  0.7500  0.6508  0.3750  2 B 2.08
V  0.7500  0.8492  0.8750  2 B 2.08
V  0.8492  0.2500  0.1250  2 B 2.08
Tc  0.0000  0.0000  0.5000  2 B 2.17
Tc  0.0000  0.5000  0.7500  2 B 2.17
Tc  0.5000  0.0000  0.2500  2 B 2.17
Tc  0.5000  0.5000  0.0000  2 B 2.17
B  0.0000  0.0000  0.0000  4 V 2.08, 2 Tc 2.17
B  0.0000  0.5000  0.2500  4 V 2.08, 2 Tc 2.17
B  0.5000  0.0000  0.7500  4 V 2.08, 2 Tc 2.17
B  0.5000  0.5000  0.5000  4 V 2.08, 2 Tc 2.17

---

4 | VASP calculation (PBE-GGA) on V2TcB after structural relaxation.

a = 5.7588 Å, b = 5.7588 Å, c = 5.7588 Å
α = 90.00°, β = 90.00°, γ = 90.00°
Last column: nearest neighbours and their distance in Å.
Fractional positions:
V  0.2500  0.2500  0.2500  4 Tc 2.49, 4 B 2.49
V  0.2500  0.2500  0.7500  4 B 2.49, 4 Tc 2.49
V  0.2500  0.7500  0.2500  4 B 2.49, 4 Tc 2.49
V  0.2500  0.7500  0.7500  4 Tc 2.49, 4 B 2.49
V  0.7500  0.2500  0.2500  4 B 2.49, 4 Tc 2.49
V  0.7500  0.2500  0.7500  4 Tc 2.49, 4 B 2.49
V  0.7500  0.7500  0.2500  4 Tc 2.49, 4 B 2.49
V  0.7500  0.7500  0.7500  4 B 2.49, 4 Tc 2.49
Tc  0.0000  0.0000  0.0000  8 V 2.49
Tc  0.0000  0.5000  0.5000  8 V 2.49
Tc  0.5000  0.0000  0.5000  8 V 2.49
Tc  0.5000  0.5000  0.0000  8 V 2.49
B  0.0000  0.0000  0.5000  8 V 2.49
B  0.0000  0.5000  0.0000  8 V 2.49
B  0.5000  0.0000  0.0000  8 V 2.49
B  0.5000  0.5000  0.5000  8 V 2.49

---

Relative to the most stable structure, the computed energies are 1 0.000; 2 0.006; 3 0.324; 4 0.306, all in eV/atom.